This record from the Alexandria database describes a relaxed Eu2GaSn crystal. The functional is PBE.

**Energy relative to the elements**: -0.55 eV per atom
**Size of the total moment**: 14.3 μB per cell

abc: 3.8276 3.8276 7.7530
angles: 90.00 90.00 90.00
Closest atoms and distances in Å follow each position.
Space group P4/mmm (No. 123)
Symmetry-distinct sites (fractional):
Eu  0.0000  0.0000  0.2355 [2 per cell]  4 Ga 3.26, 4 Sn 3.40, 1 Eu 3.65
Ga  0.5000  0.5000  0.0000 [1 per cell]  8 Eu 3.26
Sn  0.5000  0.5000  0.5000 [1 per cell]  8 Eu 3.40